Record 1
The following is a PBE-GGA calculation of HfSn2Bi2 after structural relaxation, from the Alexandria database.

Summary:
The calculation puts the size of the total moment at 0.00 μB/f.u. The value obtained for the mass density is 9779 kg/m³. Its formation enthalpy at 0 K is 0.19 eV per atom. As for the crystal system: tetragonal. For the total energy, the calculation gives -4.95 eV/atom.

```
data_HfSn2Bi2
_cell_length_a 7.805
_cell_length_b 7.805
_cell_length_c 4.648
_cell_angle_alpha 90.00
_cell_angle_beta 90.00
_cell_angle_gamma 90.00
_space_group_name_H-M_alt 'P 4/m b m'
_space_group_IT_number 127
_space_group_name_Hall '-P 4 2ab'
loop_
_atom_site_label
_atom_site_type_symbol
_atom_site_fract_x
_atom_site_fract_y
_atom_site_fract_z
Hf1 Hf 0.000 0.000 0.000
Sn1 Sn 0.147 0.353 0.000
Bi1 Bi 0.165 0.665 0.500
```

---

Record 2
The following is a PBE-GGA calculation of HfSnBi2 after structural relaxation, from the Alexandria database.

Summary:
The calculation puts the size of the total moment at 0.00 μB/f.u. The value obtained for the mass density is 10915 kg/m³. Its formation enthalpy at 0 K is 0.05 eV per atom. As for the crystal system: tetragonal. For the total energy, the calculation gives -5.38 eV/atom.

```
data_HfSnBi2
_cell_length_a 3.871
_cell_length_b 3.871
_cell_length_c 7.260
_cell_angle_alpha 90.00
_cell_angle_beta 90.00
_cell_angle_gamma 90.00
_space_group_name_H-M_alt 'P 4/m m m'
_space_group_IT_number 123
_space_group_name_Hall '-P 4 2'
loop_
_atom_site_label
_atom_site_type_symbol
_atom_site_fract_x
_atom_site_fract_y
_atom_site_fract_z
Hf1 Hf 0.000 0.000 0.000
Sn1 Sn 0.000 0.000 0.500
Bi1 Bi 0.500 0.500 0.222
```

---

Record 3
The following is a PBE-GGA calculation of Hf6SnBi after structural relaxation, from the Alexandria database.

Summary:
The calculation puts the size of the total moment at 0.00 μB/f.u. The value obtained for the mass density is 13031 kg/m³. Its formation enthalpy at 0 K is -0.12 eV per atom. As for the crystal system: triclinic. For the total energy, the calculation gives -8.57 eV/atom.

```
data_Hf6SnBi
_cell_length_a 5.627
_cell_length_b 5.630
_cell_length_c 5.631
_cell_angle_alpha 88.22
_cell_angle_beta 88.54
_cell_angle_gamma 88.78
_space_group_name_H-M_alt 'P -1'
_space_group_IT_number 2
loop_
_space_group_symop_operation_xyz
'x,y,z'
'-x,-y,-z'
loop_
_atom_site_label
_atom_site_type_symbol
_atom_site_fract_x
_atom_site_fract_y
_atom_site_fract_z
Hf1 Hf 0.005 0.252 0.493
Hf2 Hf 0.253 0.494 0.007
Hf3 Hf 0.495 0.009 0.253
Sn1 Sn 0.500 0.500 0.500
Bi1 Bi 0.000 0.000 0.000
```

---

Please write out number 3 again, unchanged.
The following is a PBE-GGA calculation of Hf6SnBi after structural relaxation, from the Alexandria database.

Summary:
The calculation puts the size of the total moment at 0.00 μB/f.u. The value obtained for the mass density is 13031 kg/m³. Its formation enthalpy at 0 K is -0.12 eV per atom. As for the crystal system: triclinic. For the total energy, the calculation gives -8.57 eV/atom.

```
data_Hf6SnBi
_cell_length_a 5.627
_cell_length_b 5.630
_cell_length_c 5.631
_cell_angle_alpha 88.22
_cell_angle_beta 88.54
_cell_angle_gamma 88.78
_space_group_name_H-M_alt 'P -1'
_space_group_IT_number 2
loop_
_space_group_symop_operation_xyz
'x,y,z'
'-x,-y,-z'
loop_
_atom_site_label
_atom_site_type_symbol
_atom_site_fract_x
_atom_site_fract_y
_atom_site_fract_z
Hf1 Hf 0.005 0.252 0.493
Hf2 Hf 0.253 0.494 0.007
Hf3 Hf 0.495 0.009 0.253
Sn1 Sn 0.500 0.500 0.500
Bi1 Bi 0.000 0.000 0.000
```

---

- Among the records above, which one has the highest formation enthalpy at 0 K?
  HfSn2Bi2

---

- Which value of mass density does entry 2 give?
  10915 kg/m³